1.
{
  "formula": "Ac2MgIn6Ga",
  "functional": "PBE-GGA",
  "state": "relaxed",
  "spacegroup": "R-3m (166)",
  "final_energy_ev_per_atom": -3.11,
  "lattice": [[7.269, 0.000, 0.000], [3.634, 6.295, 0.000], [3.634, 2.098, 12.824]],
  "species": ["In", "Mg", "In", "In", "Ac", "In", "In", "In", "Ac", "Ac", "In", "In", "Ac", "In", "In", "Ga", "In", "In", "Mg", "Ga"],
  "frac_coords": [[0.673, 0.229, 0.870], [0.000, 0.000, 0.000], [0.060, 0.658, 0.623], [0.658, 0.060, 0.623], [0.118, 0.118, 0.647], [0.658, 0.658, 0.623], [0.771, 0.327, 0.130], [0.940, 0.342, 0.377], [0.296, 0.296, 0.112], [0.704, 0.704, 0.888], [0.229, 0.229, 0.870], [0.229, 0.673, 0.870], [0.882, 0.882, 0.353], [0.342, 0.342, 0.377], [0.342, 0.940, 0.377], [0.431, 0.431, 0.708], [0.327, 0.771, 0.130], [0.771, 0.771, 0.130], [0.500, 0.500, 0.500], [0.569, 0.569, 0.292]]
}

***

2.
{
  "formula": "Dy2RuRh",
  "functional": "PBE-GGA",
  "state": "relaxed",
  "spacegroup": "Fmmm (69)",
  "final_energy_ev_per_atom": -7.08,
  "lattice": [[-4.304, -0.817, 2.028], [-2.626, -3.807, -1.352], [1.398, -4.459, 1.210]],
  "species": ["Ru", "Rh", "Dy", "Dy"],
  "frac_coords": [[0.250, 0.500, 0.750], [0.750, 0.500, 0.250], [0.000, 0.000, 0.000], [0.500, 0.000, 0.500]]
}

***

3.
{
  "formula": "KIrRu",
  "functional": "PBE-GGA",
  "state": "relaxed",
  "polymorph_energy_mev_per_atom": 60,
  "spacegroup": "P4/nmm (129)",
  "final_energy_ev_per_atom": -5.91,
  "lattice": [[4.600, 0.000, 0.000], [0.000, 4.600, 0.000], [0.000, 0.000, 7.145]],
  "species": ["Ru", "Ir", "Ir", "K", "K", "Ru"],
  "frac_coords": [[0.000, 0.000, 0.000], [0.500, 0.000, 0.877], [0.000, 0.500, 0.123], [0.000, 0.500, 0.635], [0.500, 0.000, 0.365], [0.500, 0.500, 0.000]]
}

***

4.
{
  "formula": "VIrS2N",
  "functional": "PBE-GGA",
  "state": "relaxed",
  "polymorph_energy_mev_per_atom": 61,
  "raw_formation_energy_ev_per_atom": 0.6801,
  "spacegroup": "P4/mmm (123)",
  "final_energy_ev_per_atom": -6.23,
  "lattice": [[4.828, 0.000, 0.000], [0.000, 4.828, 0.000], [0.000, 0.000, 3.624]],
  "species": ["N", "Ir", "S", "V", "S"],
  "frac_coords": [[0.000, 0.000, 0.500], [0.000, 0.000, 0.000], [0.000, 0.500, 0.000], [0.500, 0.500, 0.500], [0.500, 0.000, 0.000]]
}

***

5.
{
  "formula": "LaAl2CdCo",
  "functional": "PBE-GGA",
  "state": "relaxed",
  "polymorph_energy_mev_per_atom": 1489,
  "spacegroup": "P4/mmm (123)",
  "final_energy_ev_per_atom": -2.90,
  "lattice": [[-1.807, -0.695, 5.532], [-4.025, -1.363, -1.486], [1.904, -5.543, -0.075]],
  "species": ["Cd", "Al", "Al", "La", "Co"],
  "frac_coords": [[0.500, 0.500, 0.500], [0.000, 0.000, 0.500], [0.500, 0.000, 0.000], [0.000, 0.000, 0.000], [0.000, 0.500, 0.000]]
}

***

6.
{
  "formula": "Zn2CuSeS",
  "functional": "PBE-GGA",
  "state": "relaxed",
  "raw_formation_energy_ev_per_atom": 0.3607,
  "spacegroup": "P4/mmm (123)",
  "final_energy_ev_per_atom": -2.49,
  "lattice": [[-0.953, 4.136, -2.610], [-2.410, 1.345, 3.012], [3.909, 2.242, 2.126]],
  "species": ["S", "Zn", "Cu", "Zn", "Se"],
  "frac_coords": [[0.000, 0.500, 0.000], [0.000, 0.000, 0.500], [0.000, 0.000, 0.000], [0.500, 0.000, 0.000], [0.500, 0.500, 0.500]]
}

***

7.
{
  "formula": "DyTmAlTl",
  "functional": "PBE-GGA",
  "state": "relaxed",
  "polymorph_energy_mev_per_atom": 27,
  "spacegroup": "F-43m (216)",
  "final_energy_ev_per_atom": -4.12,
  "lattice": [[5.215, 0.000, 0.000], [2.608, 4.517, 0.000], [2.608, 1.506, 4.258]],
  "species": ["Al", "Tm", "Dy", "Tl"],
  "frac_coords": [[0.500, 0.500, 0.500], [0.750, 0.750, 0.750], [0.250, 0.250, 0.250], [0.000, 0.000, 0.000]]
}

***

8.
{
  "formula": "Co2SiRu2",
  "functional": "PBE-GGA",
  "state": "relaxed",
  "polymorph_energy_mev_per_atom": 512,
  "raw_formation_energy_ev_per_atom": 0.5540,
  "spacegroup": "I4/mmm (139)",
  "final_energy_ev_per_atom": -7.08,
  "lattice": [[3.424, 0.000, 0.000], [0.000, 3.424, 0.000], [1.712, 1.712, 5.925]],
  "species": ["Ru", "Si", "Co", "Ru", "Co"],
  "frac_coords": [[0.250, 0.750, 0.500], [0.000, 0.000, 0.000], [0.407, 0.407, 0.187], [0.750, 0.250, 0.500], [0.593, 0.593, 0.813]]
}

***

9.
{
  "formula": "Hf2Co2Au",
  "functional": "PBE-GGA",
  "state": "relaxed",
  "spacegroup": "P4/mbm (127)",
  "final_energy_ev_per_atom": -7.93,
  "lattice": [[7.032, 0.000, 0.000], [0.000, 7.032, 0.000], [0.000, 0.000, 3.227]],
  "species": ["Au", "Hf", "Co", "Au", "Co", "Hf", "Hf", "Hf", "Co", "Co"],
  "frac_coords": [[0.000, 0.000, 0.000], [0.335, 0.165, 0.500], [0.369, 0.869, 0.000], [0.500, 0.500, 0.000], [0.631, 0.131, 0.000], [0.165, 0.665, 0.500], [0.665, 0.835, 0.500], [0.835, 0.335, 0.500], [0.131, 0.369, 0.000], [0.869, 0.631, 0.000]]
}

***

10.
{
  "formula": "Sr2CaRe",
  "functional": "PBE-GGA",
  "state": "relaxed",
  "polymorph_energy_mev_per_atom": 829,
  "spacegroup": "I-42d (122)",
  "final_energy_ev_per_atom": -2.87,
  "lattice": [[-6.121, 5.919, -0.217], [-4.142, -4.501, -5.927], [-8.111, -2.215, 1.231]],
  "species": ["Sr", "Sr", "Re", "Ca", "Ca", "Sr", "Re", "Sr"],
  "frac_coords": [[0.870, 0.125, 0.250], [0.375, 0.130, 0.750], [0.000, 0.000, 0.000], [0.250, 0.750, 0.500], [0.500, 0.500, 0.000], [0.875, 0.120, 0.750], [0.750, 0.250, 0.500], [0.880, 0.625, 0.250]]
}

***

11.
{
  "formula": "Pr3Co3Ni",
  "functional": "PBE-GGA",
  "state": "relaxed",
  "spacegroup": "Cmcm (63)",
  "final_energy_ev_per_atom": -5.99,
  "lattice": [[4.364, 0.000, 0.000], [-2.182, 5.101, 0.000], [0.000, 0.000, 12.601]],
  "species": ["Ni", "Pr", "Pr", "Pr", "Co", "Co", "Ni", "Co", "Pr", "Pr", "Co", "Pr", "Co", "Co"],
  "frac_coords": [[0.500, 0.000, 0.500], [0.528, 0.056, 0.750], [0.766, 0.531, 0.102], [0.472, 0.944, 0.250], [0.163, 0.327, 0.250], [0.942, 0.884, 0.916], [0.500, 0.000, 0.000], [0.837, 0.673, 0.750], [0.234, 0.469, 0.898], [0.234, 0.469, 0.602], [0.058, 0.116, 0.416], [0.766, 0.531, 0.398], [0.942, 0.884, 0.584], [0.058, 0.116, 0.084]]
}

***

12.
{
  "formula": "InPtAu2",
  "functional": "PBE-GGA",
  "state": "relaxed",
  "spacegroup": "P4/mmm (123)",
  "final_energy_ev_per_atom": -4.02,
  "lattice": [[4.106, 0.000, 0.000], [0.000, 4.115, 0.000], [0.000, 0.000, 4.262]],
  "species": ["Au", "Pt", "Au", "In"],
  "frac_coords": [[0.500, 0.500, 0.000], [0.000, 0.500, 0.500], [0.000, 0.000, 0.000], [0.500, 0.000, 0.500]]
}

***

13.
{
  "formula": "ZrCd2Te",
  "functional": "PBE-GGA",
  "state": "relaxed",
  "raw_formation_energy_ev_per_atom": 0.0444,
  "spacegroup": "P4/mmm (123)",
  "final_energy_ev_per_atom": -3.34,
  "lattice": [[3.171, 0.000, 0.000], [0.000, 3.171, 0.000], [0.000, 0.000, 10.052]],
  "species": ["Zr", "Cd", "Cd", "Te"],
  "frac_coords": [[0.500, 0.500, 0.750], [0.000, 0.000, 0.534], [0.000, 0.000, 0.966], [0.500, 0.500, 0.250]]
}

***

14.
{
  "formula": "VP2RhS",
  "functional": "PBE-GGA",
  "state": "relaxed",
  "polymorph_energy_mev_per_atom": 349,
  "raw_formation_energy_ev_per_atom": 0.8520,
  "spacegroup": "P4/mmm (123)",
  "final_energy_ev_per_atom": -5.43,
  "lattice": [[4.453, 0.000, 0.000], [0.000, 4.453, 0.000], [0.000, 0.000, 4.847]],
  "species": ["S", "P", "P", "V", "Rh"],
  "frac_coords": [[0.000, 0.000, 0.500], [0.000, 0.500, 0.000], [0.500, 0.000, 0.000], [0.500, 0.500, 0.500], [0.000, 0.000, 0.000]]
}

***

15.
{
  "formula": "Pm6YHoSc2",
  "functional": "PBE-GGA",
  "state": "relaxed",
  "spacegroup": "C2/c (15)",
  "final_energy_ev_per_atom": -5.10,
  "lattice": [[9.081, -1.954, -2.028], [0.743, 8.521, -2.012], [0.743, -2.327, 8.441]],
  "species": ["Sc", "Pm", "Pm", "Y", "Pm", "Pm", "Ho", "Pm", "Sc", "Pm", "Pm", "Pm", "Pm", "Ho", "Pm", "Sc", "Pm", "Sc", "Pm", "Y"],
  "frac_coords": [[0.953, 0.700, 0.802], [0.618, 0.496, 0.703], [0.316, 0.987, 0.440], [0.250, 0.972, 0.028], [0.882, 0.297, 0.504], [0.948, 0.886, 0.238], [0.750, 0.591, 0.409], [0.816, 0.440, 0.987], [0.047, 0.300, 0.198], [0.448, 0.238, 0.886], [0.684, 0.013, 0.560], [0.184, 0.560, 0.013], [0.118, 0.703, 0.496], [0.250, 0.409, 0.591], [0.052, 0.114, 0.762], [0.453, 0.802, 0.700], [0.552, 0.762, 0.114], [0.547, 0.198, 0.300], [0.382, 0.504, 0.297], [0.750, 0.028, 0.972]]
}

***

16.
{
  "formula": "UCoSbRu",
  "functional": "PBE-GGA",
  "state": "relaxed",
  "raw_formation_energy_ev_per_atom": -0.0913,
  "spacegroup": "F-43m (216)",
  "final_energy_ev_per_atom": -8.04,
  "lattice": [[-4.394, 0.776, -1.350], [-2.958, -3.571, -0.476], [-3.500, -0.547, 3.029]],
  "species": ["Co", "Ru", "Sb", "U"],
  "frac_coords": [[0.750, 0.750, 0.750], [0.250, 0.250, 0.250], [0.500, 0.500, 0.500], [0.000, 0.000, 0.000]]
}

***

17.
{
  "formula": "BaErAuO4",
  "functional": "PBE-GGA",
  "state": "relaxed",
  "raw_formation_energy_ev_per_atom": -1.7515,
  "spacegroup": "Cmcm (63)",
  "final_energy_ev_per_atom": -5.98,
  "lattice": [[-3.346, 2.574, -4.126], [4.094, -3.403, -2.548], [-5.027, -6.203, 0.207]],
  "species": ["O", "Ba", "Au", "O", "O", "O", "O", "O", "Er", "Au", "O", "O", "Er", "Ba"],
  "frac_coords": [[0.214, 0.786, 0.498], [0.500, 0.500, 0.500], [0.196, 0.804, 0.250], [0.214, 0.786, 0.002], [0.231, 0.250, 0.750], [0.786, 0.214, 0.998], [0.250, 0.231, 0.250], [0.750, 0.769, 0.750], [0.127, 0.873, 0.750], [0.804, 0.196, 0.750], [0.786, 0.214, 0.502], [0.769, 0.750, 0.250], [0.873, 0.127, 0.250], [0.500, 0.500, 0.000]]
}

***

18.
{
  "formula": "BaNa2B",
  "functional": "PBE-GGA",
  "state": "relaxed",
  "spacegroup": "I-42d (122)",
  "final_energy_ev_per_atom": -2.03,
  "lattice": [[-3.734, -2.478, 0.420], [-0.326, -0.269, -4.481], [4.719, -11.523, -1.912]],
  "species": ["Ba", "Na", "B", "Na", "B", "Na", "Na", "Ba"],
  "frac_coords": [[0.750, 0.250, 0.500], [0.579, 0.125, 0.250], [0.500, 0.500, 0.000], [0.875, 0.829, 0.750], [0.250, 0.750, 0.500], [0.171, 0.625, 0.250], [0.375, 0.421, 0.750], [0.000, 0.000, 0.000]]
}

***

19.
{
  "formula": "LaGdTm2",
  "functional": "PBE-GGA",
  "state": "relaxed",
  "polymorph_energy_mev_per_atom": 0,
  "spacegroup": "P4/mmm (123)",
  "final_energy_ev_per_atom": -6.96,
  "lattice": [[-2.244, 4.442, -0.039], [-0.147, -0.119, -5.098], [-4.551, -2.297, 0.184]],
  "species": ["La", "Tm", "Tm", "Gd"],
  "frac_coords": [[0.500, 0.000, 0.000], [0.000, 0.500, 0.000], [0.000, 0.000, 0.500], [0.500, 0.500, 0.500]]
}

***

20.
{
  "formula": "LaNdGd4",
  "functional": "PBE-GGA",
  "state": "relaxed",
  "spacegroup": "F-43m (216)",
  "final_energy_ev_per_atom": -10.76,
  "lattice": [[6.710, 0.000, 0.000], [3.355, 5.811, 0.000], [3.355, 1.937, 5.479]],
  "species": ["Nd", "Gd", "Gd", "La", "Gd", "Gd"],
  "frac_coords": [[0.000, 0.000, 0.000], [0.625, 0.625, 0.625], [0.124, 0.625, 0.625], [0.250, 0.250, 0.250], [0.625, 0.625, 0.124], [0.625, 0.124, 0.625]]
}